Entry from Alexandria via LeMat-Bulk: Ca3Np3NiN8 after structural relaxation (PBE).

Output
M_tot	4.99	μB per formula unit
formation energy (no corrections)	-805.4	meV per atom
VASP energy	-8.62	eV/atom

abc: 12.035 6.489 6.777
angles: 90.00 124.25 90.00
Space group C2/m (No. 12)
One atom of each set of equivalent atoms:
Ca  0.000  0.000  0.000 x2
Ca  0.250  0.250  0.000 x4
Np  0.000  0.500  0.500 x2
Np  0.250  0.250  0.500 x4
Ni  0.000  0.000  0.500 x2
N  0.017  0.236  0.318 x8
N  0.223  0.500  0.274 x4
N  0.242  0.500  0.728 x4



Entry from Alexandria via LeMat-Bulk: CaNp2NiN4 after structural relaxation (PBE).

Output
M_tot	3.99	μB per formula unit
formation energy (no corrections)	-944.5	meV per atom
VASP energy	-9.32	eV/atom

abc: 3.466 11.157 11.349
angles: 90.00 90.00 90.00
Space group Cmcm (No. 63)
One atom of each set of equivalent atoms:
Ca  0.000  0.098  0.250 x4
Np  0.000  0.371  0.059 x8
Ni  0.000  0.171  0.750 x4
N  0.000  0.000  0.000 x4
N  0.000  0.258  0.602 x8
N  0.000  0.432  0.250 x4



Entry from Alexandria via LeMat-Bulk: Ca4Np3NiN8 after structural relaxation (PBE).

Output
M_tot	7.13	μB per formula unit
formation energy (no corrections)	-930.4	meV per atom
VASP energy	-8.38	eV/atom

abc: 12.051 6.670 6.805
angles: 90.00 123.88 90.00
Space group C2/m (No. 12)
One atom of each set of equivalent atoms:
Ca  0.000  0.000  0.000 x2
Ca  0.000  0.500  0.000 x2
Ca  0.250  0.250  0.000 x4
Np  0.000  0.000  0.500 x2
Np  0.250  0.250  0.500 x4
Ni  0.000  0.500  0.500 x2
N  0.017  0.243  0.292 x8
N  0.235  0.000  0.272 x4
N  0.241  0.000  0.723 x4



| no. | D(E_F) (states/eV/atom) |
| --- | --- |
| 1 | 0.77 |
| 2 | 1.20 |
| 3 | 0.82 |